Entry 1:
# PBE Ce2As3H4, optimized geometry
# calculated volume: 14.97 A^3/atom
# E_tot: -4.859 eV/atom
data_Ce2As3H4
_symmetry_space_group_name_H-M 'C 1 2/m 1'
_symmetry_Int_Tables_number 12
_cell_length_a 10.8143
_cell_length_b 3.9005
_cell_length_c 6.4289
_cell_angle_alpha 90.00
_cell_angle_beta 96.56
_cell_angle_gamma 90.00
loop_
_symmetry_equiv_pos_as_xyz
'x,y,z'
'-x,-y,-z'
'-x,y,-z'
'x,-y,z'
'x+1/2,y+1/2,z'
'-x+1/2,-y+1/2,-z'
'-x+1/2,y+1/2,-z'
'x+1/2,-y+1/2,z'
loop_
_atom_site_label
_atom_site_type_symbol
_atom_site_fract_x
_atom_site_fract_y
_atom_site_fract_z
Ce1 Ce 0.2406 0.0000 0.2421
As1 As 0.0000 0.5000 0.5000
As2 As 0.0407 0.0000 0.8168
H1 H 0.1867 0.5000 0.0724
H2 H 0.2334 0.0000 0.5869



Entry 2:
# PBE CuH3I, optimized geometry
# E above lowest polymorph: 0.00 kcal/mol of atoms
# calculated volume: 10.92 A^3/atom
# E_tot: -2.290 eV/atom
data_CuH3I
_symmetry_space_group_name_H-M 'P m -3 m'
_symmetry_Int_Tables_number 221
_symmetry_space_group_name_Hall '-P 4 2 3'
_cell_length_a 3.7936
_cell_length_b 3.7936
_cell_length_c 3.7936
_cell_angle_alpha 90.00
_cell_angle_beta 90.00
_cell_angle_gamma 90.00
loop_
_atom_site_label
_atom_site_type_symbol
_atom_site_fract_x
_atom_site_fract_y
_atom_site_fract_z
Cu1 Cu 0.0000 0.0000 0.0000
H1 H 0.0000 0.0000 0.5000
I1 I 0.5000 0.5000 0.5000